Entry 1:
A relaxed structure of PmSmAlIr. Source: Alexandria via LeMat-Bulk, functional GGA-PBE.

Results
Formation energy from the elements, eV per atom: -0.4268
DFT total energy, Ry per atom: -0.43696

Cell lengths 7.207, 7.207, 7.207 Å; angles 90.00, 90.00, 90.00 degrees
Space group F-43m (No. 216)
Unique sites:
Pm1 0.000 0.000 0.000
Sm1 0.000 0.000 0.500
Al1 0.250 0.250 0.250
Ir1 0.250 0.250 0.750

---

Entry 2:
A relaxed structure of PrTeCl. Source: Alexandria via LeMat-Bulk, functional GGA-PBE.

Results
Energy relative to the elements, uncorrected, eV per atom: -1.694
DFT total energy, Ry per atom: -0.36383
Energy relative to the lowest polymorph listed for this composition, meV per atom: 143

Cell lengths 7.355, 7.355, 7.355 Å; angles 90.00, 90.00, 90.00 degrees
Space group F-43m (No. 216)
Unique sites:
Pr1 0.000 0.000 0.000
Te1 0.250 0.250 0.250
Cl1 0.250 0.250 0.750

---

Entry 3:
A relaxed structure of K3Tb2PrS6. Source: Alexandria via LeMat-Bulk, functional GGA-PBE.

Results
Energy relative to the elements, uncorrected, eV per atom: -1.869
DFT total energy, Ry per atom: -0.39524

Cell lengths 7.144, 12.374, 7.762 Å; angles 90.00, 107.88, 90.00 degrees
Space group C2/m (No. 12)
Unique sites:
K1 0.000 0.000 0.000
K2 0.000 0.334 0.000
Tb1 0.000 0.167 0.500
Pr1 0.000 0.500 0.500
S1 0.226 0.000 0.704
S2 0.239 0.329 0.704